First-principles (GGA-PBE) data for an optimized crystal structure of RbAlBr2, as listed in Alexandria.

The structure belongs to space group R-3m (No. 166, hexagonal axes); the cell edges are 4.9198, 4.9198 and 28.1648 Å and the angles 90.00°, 90.00° and 120.00°. Symmetry generates all atoms from Rb at (0.0000, 0.0000, 0.0000), Al at (0.0000, 0.0000, 0.5000) and Br at (0.0000, 0.0000, 0.1108).

The value obtained for the calculated volume is 49.2 Å³/atom. For the energy above the most stable polymorph in this dataset, the calculation gives 21.7 kJ/mol of atoms. The formation energy without anion corrections is -2.48 eV per formula unit. The total DFT energy (no corrections) comes out at -2.63 eV per atom. The density of states at the Fermi level comes out at 0.0000 states/eV/atom.